Here is crystalline TbNdPd4Pb2 at its relaxed geometry from OQMD via LeMat-Bulk. Energies are from PBE.

Values from the calculation:
calculated total energy	-42.93	eV/cell
magnetization	0.00	μB/f.u.
symmetry	P-6m2

Cell lengths 4.7085, 4.7085, 9.0076 Å; angles 90.00, 90.00, 120.00 degrees
Last column: nearest neighbours and their distance in Å.
Element x y z (fractional)
1 Pb 0.6667 0.3333 0.7429  6 Pd 2.83-2.85
2 Pb 0.6667 0.3333 0.2571  6 Pd 2.83-2.85
3 Pd 0.3333 0.6667 0.6573  3 Pb 2.83, 4 Pd 2.83-3.16, 3 Tb 3.07, 1 Nd 3.09
4 Pd 0.0000 0.0000 0.1638  3 Pb 2.85, 4 Pd 2.95-3.16, 1 Tb 3.03, 3 Nd 3.09
5 Pd 0.3333 0.6667 0.3427  3 Pb 2.83, 4 Pd 2.83-3.16, 3 Tb 3.07, 1 Nd 3.09
6 Pd 0.0000 0.0000 0.8362  3 Pb 2.85, 4 Pd 2.95-3.16, 1 Tb 3.03, 3 Nd 3.09
7 Nd 0.3333 0.6667 0.0000  8 Pd 3.09
8 Tb 0.0000 0.0000 0.5000  8 Pd 3.03-3.07

***

Here is crystalline Hf4Nb2Si3N3 at its relaxed geometry from OQMD via LeMat-Bulk. Energies are from PBE.

Values from the calculation:
calculated total energy	-226.47	eV/cell
magnetization	0.00	μB/f.u.
symmetry	C2/c

Cell lengths 5.5391, 5.5391, 13.4287 Å; angles 101.95, 101.95, 60.20 degrees
Last column: nearest neighbours and their distance in Å.
Element x y z (fractional)
1 Hf 0.2033 0.0294 0.5991  3 N 2.19-2.25
2 Hf 0.3000 0.1379 0.9009  3 N 2.19-2.25
3 Hf 0.7000 0.8621 0.0991  3 N 2.19-2.25
4 Hf 0.0294 0.2033 0.0991  3 N 2.19-2.25
5 Hf 0.9706 0.7967 0.9009  3 N 2.19-2.25
6 Hf 0.1379 0.3000 0.4009  3 N 2.19-2.25
7 Hf 0.7967 0.9706 0.4009  3 N 2.19-2.25
8 Hf 0.8621 0.7000 0.5991  3 N 2.19-2.25
9 N 0.3208 0.8583 0.0000  4 Hf 2.19-2.25, 2 Nb 2.25
10 N 0.0000 0.5000 0.0000  2 Nb 2.21, 4 Hf 2.25
11 N 0.8583 0.3208 0.5000  4 Hf 2.19-2.25, 2 Nb 2.25
12 N 0.5000 0.0000 0.5000  2 Nb 2.21, 4 Hf 2.25
13 N 0.1417 0.6792 0.5000  4 Hf 2.19-2.25, 2 Nb 2.25
14 N 0.6792 0.1417 0.0000  4 Hf 2.19-2.25, 2 Nb 2.25
15 Si 0.4173 0.2910 0.2490  2 Nb 2.64-2.66, 4 Hf 2.78-2.79, 2 Si 2.79-2.81
16 Si 0.1238 0.8762 0.2500  2 Nb 2.68, 4 Hf 2.79, 2 Si 2.81
17 Si 0.2910 0.4173 0.7490  2 Nb 2.64-2.66, 4 Hf 2.78-2.79, 2 Si 2.79-2.81
18 Si 0.8762 0.1238 0.7500  2 Nb 2.68, 4 Hf 2.79, 2 Si 2.81
19 Si 0.5827 0.7090 0.7510  2 Nb 2.64-2.66, 4 Hf 2.78-2.79, 2 Si 2.79-2.81
20 Si 0.7090 0.5827 0.2510  2 Nb 2.64-2.66, 4 Hf 2.78-2.79, 2 Si 2.79-2.81
21 Nb 0.6302 0.4709 0.9120  3 N 2.21-2.25
22 Nb 0.5291 0.3698 0.5880  3 N 2.21-2.25
23 Nb 0.3698 0.5291 0.0880  3 N 2.21-2.25
24 Nb 0.4709 0.6302 0.4120  3 N 2.21-2.25

***

Here is crystalline GdEr2Cd3AgAu2 at its relaxed geometry from OQMD via LeMat-Bulk. Energies are from PBE.

Values from the calculation:
ΔH_f (0 K)	-0.578	eV/atom
magnetization	0.01	μB/f.u.
symmetry	Amm2

Cell lengths 3.8368, 7.8581, 7.8581 Å; angles 120.23, 90.00, 90.00 degrees
Last column: nearest neighbours and their distance in Å.
Element x y z (fractional)
1 Er 0.0000 0.5918 0.0000  4 Au 3.04-3.05, 1 Ag 3.20, 4 Cd 3.22-3.39
2 Er 0.0000 0.0000 0.5918  4 Au 3.04-3.05, 1 Ag 3.20, 4 Cd 3.22-3.39
3 Cd 0.5000 0.2620 0.9988  2 Ag 2.82, 2 Au 2.91-2.95
4 Cd 0.5000 0.7390 0.7390  2 Ag 2.80, 2 Au 2.96
5 Cd 0.5000 0.9988 0.2620  2 Ag 2.82, 2 Au 2.91-2.95
6 Gd 0.0000 0.4076 0.4076  4 Au 3.08, 1 Ag 3.20, 6 Cd 3.23-3.41
7 Ag 0.0000 0.9989 0.9989  6 Cd 2.80-2.82
8 Au 0.5000 0.3326 0.6694  3 Cd 2.91-2.96, 4 Er 3.04-3.05, 2 Gd 3.08
9 Au 0.5000 0.6694 0.3326  3 Cd 2.91-2.96, 4 Er 3.04-3.05, 2 Gd 3.08